(1)
Density functional theory data (PBE) for Ta2ZnGe2 after structural relaxation.

Output
ρ ... 9.828 Mg/m³
Energy relative to the elements ... 257.5 meV per atom

a = 4.153 Å, b = 4.153 Å, c = 6.332 Å
α = 70.86°, β = 70.86°, γ = 90.00°
Element x y z (fractional)
Ge  0.395  0.395  0.210
Ge  0.605  0.605  0.790
Zn  0.000  0.000  0.000
Ta  0.750  0.250  0.500
Ta  0.250  0.750  0.500

(2)
Density functional theory data (PBE) for TbAgGe2 after structural relaxation.

Output
ρ ... 8.470 Mg/m³
Energy relative to the elements ... -406.2 meV per atom

a = 4.141 Å, b = 4.417 Å, c = 4.417 Å
α = 90.00°, β = 90.00°, γ = 90.00°
Element x y z (fractional)
Ge  0.000  0.000  0.500
Ge  0.000  0.500  0.000
Tb  0.500  0.500  0.500
Ag  0.500  0.000  0.000